(1)
# Lu4Hf2S3N3

A relaxed structure of Lu4Hf2S3N3 (PBE-GGA, the Open Quantum Materials Database).

```
Lu4Hf2S3N3
1.0
5.146 -2.975 0.000
5.146 2.975 0.000
-3.423 0.000 12.171
Lu Hf S N
8 4 6 6
Direct
0.037 0.198 0.103 Lu
0.130 0.299 0.397 Lu
0.198 0.037 0.603 Lu
0.299 0.130 0.897 Lu
0.701 0.870 0.103 Lu
0.802 0.963 0.397 Lu
0.870 0.701 0.603 Lu
0.963 0.802 0.897 Lu
0.363 0.532 0.095 Hf
0.468 0.637 0.405 Hf
0.532 0.363 0.595 Hf
0.637 0.468 0.905 Hf
0.098 0.902 0.250 S
0.264 0.417 0.751 S
0.417 0.264 0.251 S
0.583 0.736 0.749 S
0.736 0.583 0.249 S
0.902 0.098 0.750 S
0.000 0.500 0.000 N
0.174 0.663 0.500 N
0.337 0.826 0.000 N
0.500 0.000 0.500 N
0.663 0.174 0.000 N
0.826 0.337 0.500 N
```

## Properties
Its space-group type is C2/c (15). The calculation puts the calculated density at 10.6 g/cm3. The value obtained for the calculated total energy is -8.0520 eV per atom. As for the crystal system: monoclinic.

=====

(2)
# Lu4Hf2Sb3N3

A relaxed structure of Lu4Hf2Sb3N3 (PBE-GGA, the Open Quantum Materials Database).

```
Lu4Hf2Sb3N3
1.0
5.146 -2.975 0.000
5.146 2.975 0.000
-3.427 0.000 14.233
Lu Hf Sb N
8 4 6 6
Direct
0.033 0.193 0.088 Lu
0.134 0.304 0.412 Lu
0.193 0.033 0.588 Lu
0.304 0.134 0.912 Lu
0.696 0.866 0.088 Lu
0.807 0.967 0.412 Lu
0.866 0.696 0.588 Lu
0.967 0.807 0.912 Lu
0.358 0.528 0.082 Hf
0.472 0.642 0.418 Hf
0.528 0.358 0.582 Hf
0.642 0.472 0.918 Hf
0.098 0.902 0.250 Sb
0.266 0.416 0.751 Sb
0.416 0.266 0.251 Sb
0.584 0.734 0.749 Sb
0.734 0.584 0.249 Sb
0.902 0.098 0.750 Sb
0.000 0.500 0.000 N
0.176 0.662 0.500 N
0.338 0.824 0.000 N
0.500 0.000 0.500 N
0.662 0.176 0.000 N
0.824 0.338 0.500 N
```

## Properties
Its space-group type is C2/c (15). The calculation puts the calculated density at 11.2 g/cm3. The value obtained for the calculated total energy is -7.4215 eV per atom. As for the crystal system: monoclinic.

=====

(3)
# Lu4Hf2Si3N3

A relaxed structure of Lu4Hf2Si3N3 (PBE-GGA, the Open Quantum Materials Database).

```
Lu4Hf2Si3N3
1.0
4.990 -2.885 0.000
4.990 2.885 0.000
-3.360 0.000 13.644
Lu Hf Si N
8 4 6 6
Direct
0.038 0.196 0.100 Lu
0.128 0.300 0.400 Lu
0.196 0.038 0.600 Lu
0.300 0.128 0.900 Lu
0.700 0.872 0.100 Lu
0.804 0.962 0.400 Lu
0.872 0.700 0.600 Lu
0.962 0.804 0.900 Lu
0.356 0.527 0.082 Hf
0.473 0.644 0.418 Hf
0.527 0.356 0.582 Hf
0.644 0.473 0.918 Hf
0.153 0.847 0.250 Si
0.319 0.419 0.751 Si
0.419 0.319 0.251 Si
0.581 0.681 0.749 Si
0.681 0.581 0.249 Si
0.847 0.153 0.750 Si
0.000 0.500 0.000 N
0.171 0.665 0.500 N
0.335 0.829 0.000 N
0.500 0.000 0.500 N
0.665 0.171 0.000 N
0.829 0.335 0.500 N
```

## Properties
Its space-group type is C2/c (15). The calculation puts the calculated density at 10.0 g/cm3. The value obtained for the calculated total energy is -7.7756 eV per atom. As for the crystal system: monoclinic.

=====

(4)
# Lu2Hf4Si3N3

A relaxed structure of Lu2Hf4Si3N3 (PBE-GGA, the Open Quantum Materials Database).

```
Lu2Hf4Si3N3
1.0
4.882 -2.815 0.000
4.882 2.815 0.000
-3.334 0.000 13.541
Lu Hf Si N
4 8 6 6
Direct
0.037 0.874 0.607 Lu
0.126 0.963 0.893 Lu
0.874 0.037 0.107 Lu
0.963 0.126 0.393 Lu
0.197 0.359 0.089 Hf
0.299 0.474 0.411 Hf
0.359 0.197 0.589 Hf
0.474 0.299 0.911 Hf
0.526 0.701 0.089 Hf
0.641 0.803 0.411 Hf
0.701 0.526 0.589 Hf
0.803 0.641 0.911 Hf
0.083 0.336 0.751 Si
0.336 0.083 0.251 Si
0.486 0.514 0.250 Si
0.514 0.486 0.750 Si
0.664 0.917 0.749 Si
0.917 0.664 0.249 Si
0.000 0.500 0.500 N
0.166 0.668 0.000 N
0.332 0.834 0.500 N
0.500 0.000 0.000 N
0.668 0.166 0.500 N
0.834 0.332 0.000 N
```

## Properties
Its space-group type is C2/c (15). The calculation puts the calculated density at 10.6 g/cm3. The value obtained for the calculated total energy is -8.6645 eV per atom. As for the crystal system: monoclinic.

=====

(5)
# Lu2Hf4Sn3N3

A relaxed structure of Lu2Hf4Sn3N3 (PBE-GGA, the Open Quantum Materials Database).

```
Lu2Hf4Sn3N3
1.0
4.982 -2.878 0.000
4.982 2.878 0.000
-3.330 0.000 14.591
Lu Hf Sn N
4 8 6 6
Direct
0.031 0.867 0.591 Lu
0.133 0.969 0.909 Lu
0.867 0.031 0.091 Lu
0.969 0.133 0.409 Lu
0.194 0.358 0.083 Hf
0.302 0.475 0.417 Hf
0.358 0.194 0.583 Hf
0.475 0.302 0.917 Hf
0.525 0.698 0.083 Hf
0.642 0.806 0.417 Hf
0.698 0.525 0.583 Hf
0.806 0.642 0.917 Hf
0.084 0.268 0.751 Sn
0.268 0.084 0.251 Sn
0.436 0.564 0.750 Sn
0.564 0.436 0.250 Sn
0.732 0.916 0.749 Sn
0.916 0.732 0.249 Sn
0.000 0.500 0.500 N
0.170 0.661 0.000 N
0.339 0.830 0.500 N
0.500 0.000 0.000 N
0.661 0.170 0.500 N
0.830 0.339 0.000 N
```

## Properties
Its space-group type is C2/c (15). The calculation puts the calculated density at 11.6 g/cm3. The value obtained for the calculated total energy is -8.2556 eV per atom. As for the crystal system: monoclinic.

=====

(6)
# Lu2Hf4Tl3N3

A relaxed structure of Lu2Hf4Tl3N3 (PBE-GGA, the Open Quantum Materials Database).

```
Lu2Hf4Tl3N3
1.0
5.026 -2.902 0.000
5.026 2.902 0.000
-3.360 0.000 14.682
Lu Hf Tl N
4 8 6 6
Direct
0.030 0.867 0.589 Lu
0.133 0.970 0.911 Lu
0.867 0.030 0.089 Lu
0.970 0.133 0.411 Lu
0.193 0.355 0.079 Hf
0.303 0.478 0.421 Hf
0.355 0.193 0.579 Hf
0.478 0.303 0.921 Hf
0.522 0.697 0.079 Hf
0.645 0.807 0.421 Hf
0.697 0.522 0.579 Hf
0.807 0.645 0.921 Hf
0.084 0.269 0.751 Tl
0.269 0.084 0.251 Tl
0.435 0.565 0.750 Tl
0.565 0.435 0.250 Tl
0.731 0.916 0.749 Tl
0.916 0.731 0.249 Tl
0.000 0.500 0.500 N
0.170 0.660 0.000 N
0.340 0.830 0.500 N
0.500 0.000 0.000 N
0.660 0.170 0.500 N
0.830 0.340 0.000 N
```

## Properties
Its space-group type is C2/c (15). The calculation puts the calculated density at 13.3 g/cm3. The value obtained for the calculated total energy is -7.7302 eV per atom. As for the crystal system: monoclinic.

=====

(7)
# Lu4Hf2Tl3N3

A relaxed structure of Lu4Hf2Tl3N3 (PBE-GGA, the Open Quantum Materials Database).

```
Lu4Hf2Tl3N3
1.0
5.087 -2.940 0.000
5.087 2.940 0.000
-3.432 0.000 14.975
Lu Hf Tl N
8 4 6 6
Direct
0.034 0.191 0.086 Lu
0.133 0.305 0.414 Lu
0.191 0.034 0.586 Lu
0.305 0.133 0.914 Lu
0.695 0.867 0.086 Lu
0.809 0.966 0.414 Lu
0.867 0.695 0.586 Lu
0.966 0.809 0.914 Lu
0.355 0.526 0.076 Hf
0.474 0.645 0.424 Hf
0.526 0.355 0.576 Hf
0.645 0.474 0.924 Hf
0.102 0.898 0.250 Tl
0.270 0.416 0.751 Tl
0.416 0.270 0.251 Tl
0.584 0.730 0.749 Tl
0.730 0.584 0.249 Tl
0.898 0.102 0.750 Tl
0.000 0.500 0.000 N
0.178 0.661 0.500 N
0.339 0.822 0.000 N
0.500 0.000 0.500 N
0.661 0.178 0.000 N
0.822 0.339 0.500 N
```

## Properties
Its space-group type is C2/c (15). The calculation puts the calculated density at 12.7 g/cm3. The value obtained for the calculated total energy is -6.8612 eV per atom. As for the crystal system: monoclinic.

=====

(8)
# NaLuHfPd

A relaxed structure of NaLuHfPd (PBE-GGA, the Open Quantum Materials Database).

```
NaLuHfPd
1.0
0.000 3.477 3.477
3.477 0.000 3.477
3.477 3.477 0.000
Na Lu Hf Pd
1 1 1 1
Direct
0.000 0.000 0.000 Na
0.250 0.250 0.250 Lu
0.750 0.750 0.750 Hf
0.500 0.500 0.500 Pd
```

## Properties
Its space-group type is F-43m (216). The calculation puts the calculated density at 9.5 g/cm3. The value obtained for the calculated total energy is -5.1882 eV per atom. As for the crystal system: cubic. The calculation puts the energy above the most stable polymorph in this dataset at 0 meV/atom.

=====

(9)
# NaLuHfPd

A relaxed structure of NaLuHfPd (PBE-GGA, the Open Quantum Materials Database).

```
NaLuHfPd
1.0
0.000 3.476 3.476
3.476 0.000 3.476
3.476 3.476 0.000
Na Lu Hf Pd
1 1 1 1
Direct
0.000 0.000 0.000 Na
0.250 0.250 0.250 Lu
0.500 0.500 0.500 Hf
0.750 0.750 0.750 Pd
```

## Properties
Its space-group type is F-43m (216). The calculation puts the calculated density at 9.5 g/cm3. The value obtained for the calculated total energy is -5.0008 eV per atom. As for the crystal system: cubic. The calculation puts the energy above the most stable polymorph in this dataset at 187 meV/atom.

=====

(10)
# NaLuHfPt

A relaxed structure of NaLuHfPt (PBE-GGA, the Open Quantum Materials Database).

```
NaLuHfPt
1.0
0.000 3.445 3.445
3.445 0.000 3.445
3.445 3.445 0.000
Na Lu Hf Pt
1 1 1 1
Direct
0.000 0.000 0.000 Na
0.750 0.750 0.750 Lu
0.250 0.250 0.250 Hf
0.500 0.500 0.500 Pt
```

## Properties
Its space-group type is F-43m (216). The calculation puts the calculated density at 11.6 g/cm3. The value obtained for the calculated total energy is -5.6939 eV per atom. As for the crystal system: cubic. The calculation puts the energy above the most stable polymorph in this dataset at 0 meV/atom.

=====

(11)
# NaLuHfPt

A relaxed structure of NaLuHfPt (PBE-GGA, the Open Quantum Materials Database).

```
NaLuHfPt
1.0
0.000 3.430 3.430
3.430 0.000 3.430
3.430 3.430 0.000
Na Lu Hf Pt
1 1 1 1
Direct
0.000 0.000 0.000 Na
0.750 0.750 0.750 Lu
0.500 0.500 0.500 Hf
0.250 0.250 0.250 Pt
```

## Properties
Its space-group type is F-43m (216). The calculation puts the calculated density at 11.8 g/cm3. The value obtained for the calculated total energy is -5.4484 eV per atom. As for the crystal system: cubic. The calculation puts the energy above the most stable polymorph in this dataset at 245 meV/atom.

=====

(12)
# LuHfNb

A relaxed structure of LuHfNb (PBE-GGA, the Open Quantum Materials Database).

```
LuHfNb
1.0
0.000 3.372 3.372
3.372 0.000 3.372
3.372 3.372 0.000
Lu Hf Nb
1 1 1
Direct
0.000 0.000 0.000 Lu
0.500 0.500 0.500 Hf
0.750 0.750 0.750 Nb
```

## Properties
Its space-group type is F-43m (216). The calculation puts the calculated density at 9.7 g/cm3. For the formation energy, the calculation gives 0.789 eV per atom. The value obtained for the calculated total energy is -7.4024 eV per atom. As for the crystal system: cubic. The calculation puts the energy above the most stable polymorph in this dataset at 0 meV/atom.

=====

(13)
# NdLuHf

A relaxed structure of NdLuHf (PBE-GGA, the Open Quantum Materials Database).

```
NdLuHf
1.0
0.000 3.681 3.681
3.681 0.000 3.681
3.681 3.681 0.000
Nd Lu Hf
1 1 1
Direct
0.000 0.000 0.000 Nd
0.500 0.500 0.500 Lu
0.750 0.750 0.750 Hf
```

## Properties
Its space-group type is F-43m (216). The calculation puts the calculated density at 8.3 g/cm3. For the formation energy, the calculation gives 0.861 eV per atom. The value obtained for the calculated total energy is -5.5525 eV per atom. As for the crystal system: cubic.

=====

(14)
# LuHf2Ni

A relaxed structure of LuHf2Ni (PBE-GGA, the Open Quantum Materials Database).

```
LuHf2Ni
1.0
0.000 3.423 3.423
3.423 0.000 3.423
3.423 3.423 0.000
Lu Hf Ni
1 2 1
Direct
0.000 0.000 0.000 Lu
0.250 0.250 0.250 Hf
0.500 0.500 0.500 Hf
0.750 0.750 0.750 Ni
```

## Properties
Its space-group type is F-43m (216). The calculation puts the calculated density at 12.2 g/cm3. For the formation energy, the calculation gives 0.188 eV per atom. The value obtained for the calculated total energy is -7.3121 eV per atom. As for the crystal system: cubic.

=====

(15)
# LuHfNiPb

A relaxed structure of LuHfNiPb (PBE-GGA, the Open Quantum Materials Database).

```
LuHfNiPb
1.0
0.000 3.496 3.496
3.496 0.000 3.496
3.496 3.496 0.000
Lu Hf Ni Pb
1 1 1 1
Direct
0.000 0.000 0.000 Lu
0.250 0.250 0.250 Hf
0.750 0.750 0.750 Ni
0.500 0.500 0.500 Pb
```

## Properties
Its space-group type is F-43m (216). The calculation puts the calculated density at 12.0 g/cm3. The value obtained for the calculated total energy is -5.6502 eV per atom. As for the crystal system: cubic. The calculation puts the energy above the most stable polymorph in this dataset at 0 meV/atom.

=====

(16)
# LuHfSiNi

A relaxed structure of LuHfSiNi (PBE-GGA, the Open Quantum Materials Database).

```
LuHfSiNi
1.0
0.000 3.283 3.283
3.283 0.000 3.283
3.283 3.283 0.000
Lu Hf Si Ni
1 1 1 1
Direct
0.000 0.000 0.000 Lu
0.750 0.750 0.750 Hf
0.250 0.250 0.250 Si
0.500 0.500 0.500 Ni
```

## Properties
Its space-group type is F-43m (216). The calculation puts the calculated density at 10.3 g/cm3. The value obtained for the calculated total energy is -6.1897 eV per atom. As for the crystal system: cubic. The calculation puts the energy above the most stable polymorph in this dataset at 92 meV/atom.

=====

(17)
# LuHfSiNi

A relaxed structure of LuHfSiNi (PBE-GGA, the Open Quantum Materials Database).

```
LuHfSiNi
1.0
0.000 3.261 3.261
3.261 0.000 3.261
3.261 3.261 0.000
Lu Hf Si Ni
1 1 1 1
Direct
0.000 0.000 0.000 Lu
0.250 0.250 0.250 Hf
0.500 0.500 0.500 Si
0.750 0.750 0.750 Ni
```

## Properties
Its space-group type is F-43m (216). The calculation puts the calculated density at 10.5 g/cm3. The value obtained for the calculated total energy is -6.2815 eV per atom. As for the crystal system: cubic. The calculation puts the energy above the most stable polymorph in this dataset at 0 meV/atom.

=====

(18)
# LuHfTlNi

A relaxed structure of LuHfTlNi (PBE-GGA, the Open Quantum Materials Database).

```
LuHfTlNi
1.0
0.000 3.446 3.446
3.446 0.000 3.446
3.446 3.446 0.000
Lu Hf Tl Ni
1 1 1 1
Direct
0.000 0.000 0.000 Lu
0.750 0.750 0.750 Hf
0.250 0.250 0.250 Tl
0.500 0.500 0.500 Ni
```

## Properties
Its space-group type is F-43m (216). The calculation puts the calculated density at 12.5 g/cm3. The value obtained for the calculated total energy is -5.3232 eV per atom. As for the crystal system: cubic. The calculation puts the energy above the most stable polymorph in this dataset at 0 meV/atom.

=====

(19)
# LuHfZnNi

A relaxed structure of LuHfZnNi (PBE-GGA, the Open Quantum Materials Database).

```
LuHfZnNi
1.0
0.000 3.285 3.285
3.285 0.000 3.285
3.285 3.285 0.000
Lu Hf Zn Ni
1 1 1 1
Direct
0.000 0.000 0.000 Lu
0.750 0.750 0.750 Hf
0.250 0.250 0.250 Zn
0.500 0.500 0.500 Ni
```

## Properties
Its space-group type is F-43m (216). The calculation puts the calculated density at 11.2 g/cm3. For the formation energy, the calculation gives 0.087 eV per atom. The value obtained for the calculated total energy is -5.2412 eV per atom. As for the crystal system: cubic. The calculation puts the energy above the most stable polymorph in this dataset at 0 meV/atom.

=====

(20)
# Lu2Hf2O5

A relaxed structure of Lu2Hf2O5 (PBE-GGA, the Open Quantum Materials Database).

```
Lu2Hf2O5
1.0
4.038 0.000 0.000
0.000 4.038 0.000
0.000 0.000 7.370
Lu Hf O
2 2 5
Direct
0.000 0.000 0.000 Lu
0.000 0.000 0.500 Lu
0.500 0.500 0.220 Hf
0.500 0.500 0.780 Hf
0.000 0.500 0.269 O
0.000 0.500 0.731 O
0.500 0.000 0.269 O
0.500 0.000 0.731 O
0.500 0.500 0.500 O
```

## Properties
Its space-group type is P4/mmm (123). The calculation puts the calculated density at 10.9 g/cm3. The value obtained for the calculated total energy is -8.5987 eV per atom. As for the crystal system: tetragonal. The calculation puts the energy above the most stable polymorph in this dataset at 140 meV/atom.

=====

(21)
# Lu2Hf2O5

A relaxed structure of Lu2Hf2O5 (PBE-GGA, the Open Quantum Materials Database).

```
Lu2Hf2O5
1.0
3.578 0.000 0.000
0.000 3.578 0.000
0.000 0.000 9.505
Lu Hf O
2 2 5
Direct
0.000 0.000 0.250 Lu
0.000 0.000 0.750 Lu
0.500 0.500 0.000 Hf
0.500 0.500 0.500 Hf
0.000 0.000 0.000 O
0.000 0.500 0.369 O
0.000 0.500 0.631 O
0.500 0.000 0.369 O
0.500 0.000 0.631 O
```

## Properties
Its space-group type is P4/mmm (123). The calculation puts the calculated density at 10.7 g/cm3. The value obtained for the calculated total energy is -8.7391 eV per atom. As for the crystal system: tetragonal. The calculation puts the energy above the most stable polymorph in this dataset at 0 meV/atom.